Computed, not measured: a relaxed Dy6PtS5 crystal at the GGA-PBE level of DFT.

abc: 6.843 6.843 6.825
angles: 99.67 99.67 119.96
Fractional coordinates of all 12 atoms:
Dy (0.083, 0.419, 0.752)
Dy (0.249, 0.249, 0.252)
Dy (0.419, 0.083, 0.752)
Dy (0.581, 0.917, 0.248)
Dy (0.751, 0.751, 0.748)
Dy (0.917, 0.581, 0.248)
Pt (0.500, 0.500, 0.000)
S (0.000, 0.000, 0.500)
S (0.166, 0.834, 0.000)
S (0.331, 0.669, 0.500)
S (0.669, 0.331, 0.500)
S (0.834, 0.166, 0.000)

VASP energy: -76.7 eV for the cell shown
spin magnetization: 0.00 Bohr magnetons per cell

Computed, not measured: a relaxed ZrPSeS2 crystal at the GGA-PBE level of DFT.

abc: 4.617 4.617 4.791
angles: 90.00 90.00 90.00
Fractional coordinates of all 5 atoms:
Zr (0.000, 0.000, 0.000)
P (0.500, 0.500, 0.000)
Se (0.500, 0.500, 0.500)
S (0.000, 0.500, 0.500)
S (0.500, 0.000, 0.500)

VASP energy: -23.7 eV for the cell shown
spin magnetization: 0.00 Bohr magnetons per cell

Computed, not measured: a relaxed BaSiPt2 crystal at the GGA-PBE level of DFT.

abc: 5.501 5.501 5.501
angles: 133.60 133.60 67.72
Fractional coordinates of all 4 atoms:
Ba (0.000, 0.000, 0.000)
Si (0.750, 0.250, 0.500)
Pt (0.250, 0.750, 0.500)
Pt (0.500, 0.500, 0.000)

VASP energy: -19.1 eV for the cell shown
spin magnetization: 0.00 Bohr magnetons per cell

Computed, not measured: a relaxed Ba2GaCl crystal at the GGA-PBE level of DFT.

abc: 8.950 8.950 8.950
angles: 29.58 29.58 29.58
Fractional coordinates of all 4 atoms:
Ba (0.250, 0.250, 0.250)
Ba (0.750, 0.750, 0.750)
Ga (0.500, 0.500, 0.500)
Cl (0.000, 0.000, 0.000)

VASP energy: -12.9 eV for the cell shown
spin magnetization: 0.00 Bohr magnetons per cell

Computed, not measured: a relaxed Zr4ScCu crystal at the GGA-PBE level of DFT.

abc: 3.215 3.215 12.522
angles: 90.00 90.00 90.00
Fractional coordinates of all 6 atoms:
Zr (0.000, 0.000, 0.139)
Zr (0.000, 0.000, 0.861)
Zr (0.500, 0.500, 0.314)
Zr (0.500, 0.500, 0.686)
Sc (0.000, 0.000, 0.500)
Cu (0.500, 0.500, 0.000)

spin magnetization: 0.00 Bohr magnetons per cell
formation energy: -44 meV per atom

Computed, not measured: a relaxed Nd4Mg5Pd2 crystal at the GGA-PBE level of DFT.

abc: 7.981 3.749 10.012
angles: 90.00 92.87 90.00
Fractional coordinates of all 11 atoms:
Nd (0.164, 0.000, 0.358)
Nd (0.228, 0.000, 0.949)
Nd (0.772, 0.000, 0.051)
Nd (0.836, 0.000, 0.642)
Mg (0.188, 0.500, 0.657)
Mg (0.445, 0.500, 0.186)
Mg (0.500, 0.500, 0.500)
Mg (0.555, 0.500, 0.814)
Mg (0.812, 0.500, 0.343)
Pd (0.064, 0.500, 0.140)
Pd (0.936, 0.500, 0.860)

spin magnetization: 0.00 Bohr magnetons per cell
formation energy: -313 meV per atom

Computed, not measured: a relaxed Ca3La2 crystal at the GGA-PBE level of DFT.

abc: 15.989 15.989 15.989
angles: 13.70 13.70 13.70
Fractional coordinates of all 5 atoms:
Ca (0.000, 0.000, 0.000)
Ca (0.401, 0.401, 0.401)
Ca (0.599, 0.599, 0.599)
La (0.197, 0.197, 0.197)
La (0.803, 0.803, 0.803)

spin magnetization: 0.00 Bohr magnetons per cell
formation energy: 20 meV per atom